Record 1
A geometry-optimized MnGaTc2C structure, computed with PBE.

It has space group P4/mmm (No. 123), with a = 4.092 Å, b = 4.092 Å, c = 3.830 Å, α = 90.00°, β = 90.00° and γ = 90.00°. The inequivalent atoms are Mn at (0.000, 0.000, 0.000), Ga at (0.500, 0.500, 0.000), Tc at (0.000, 0.500, 0.500) and C at (0.000, 0.000, 0.500).

The calculation puts the energy relative to the elements at -0.02 eV per atom. The calculation puts the total energy at -0.6209 Ry per atom.



Record 2
A geometry-optimized Th2MnGaC structure, computed with PBE.

It has space group P2_1/m (No. 11), with a = 6.411 Å, b = 4.086 Å, c = 8.429 Å, α = 90.00°, β = 109.18° and γ = 90.00°. The inequivalent atoms are Th at (0.221, 0.250, 0.392), Th at (0.230, 0.250, 0.969), Mn at (0.477, 0.750, 0.252), Ga at (0.310, 0.750, 0.699) and C at (0.179, 0.750, 0.175).

The calculation puts the energy relative to the elements at -0.25 eV per atom. The calculation puts the total energy at -0.5511 Ry per atom.